This record from Alexandria describes Li2TiMo2O6 after structural relaxation. The functional is PBE+U.

Space group: C2/m (12)
Uncorrected energy, eV per atom: -7.07

Structure (CIF):
```
data_Li2TiMo2O6
_chemical_formula_sum 'Li2 Ti1 Mo2 O6'
_symmetry_space_group_name_H-M 'P 1'
_symmetry_Int_Tables_number 1
_symmetry_space_group_name_Hall 'P 1'
_cell_length_a 5.238
_cell_length_b 5.238
_cell_length_c 5.280
_cell_angle_alpha 99.42
_cell_angle_beta 99.42
_cell_angle_gamma 116.59
loop_
_atom_site_label
_atom_site_fract_x
_atom_site_fract_y
_atom_site_fract_z
O1 0.616 0.944 0.286
O2 0.944 0.616 0.286
O3 0.784 0.784 0.739
O4 0.056 0.384 0.714
O5 0.384 0.056 0.714
O6 0.216 0.216 0.261
Li1 0.164 0.836 0.000
Li2 0.836 0.164 0.000
Mo1 0.650 0.350 0.500
Mo2 0.350 0.650 0.500
Ti1 0.000 0.000 0.500
```